Material: ScCrAu2
Method: DFT, PBE-GGA
State: relaxed

```
ScCrAu2
1.0
0.000 3.318 3.318
3.318 0.000 3.318
3.318 3.318 0.000
Sc Cr Au
1 1 2
direct
0.000 0.000 0.000
0.500 0.500 0.500
0.250 0.250 0.250
0.750 0.750 0.750
```

Raw total energy (eV per atom): -5.981